Pm6Nd3Sm2Tl | GGA-PBE | optimized geometry Values from VASP.

Computed properties:
DFT total energy	-4.5720	eV per atom
total moment	0.0	μB/f.u.
E_form	-0.0210	eV/atom
space-group type	No. 12

```
&SYSTEM
  ibrav = 0, nat = 12, ntyp = 4
/
ATOMIC_SPECIES
Pm 145.00 Pm.upf
Nd 144.24 Nd.upf
Sm 150.36 Sm.upf
Tl 204.38 Tl.upf
CELL_PARAMETERS angstrom
-0.843 6.032 1.490
-2.692 -4.501 3.437
10.713 -0.907 5.264
ATOMIC_POSITIONS crystal
Pm 0.919 0.593 0.755
Pm 0.756 0.756 0.247
Pm 0.081 0.407 0.245
Pm 0.593 0.919 0.755
Pm 0.244 0.244 0.753
Pm 0.407 0.081 0.245
Nd 0.169 0.831 0.500
Nd 0.831 0.169 0.500
Nd 0.500 0.500 0.500
Sm 0.334 0.666 0.000
Sm 0.666 0.334 0.000
Tl 0.000 0.000 0.000
```